<a>
## LaEr2Zn (PBE)

Data for an optimized crystal structure of LaEr2Zn.

a b c (Å): 10.6028 10.6028 10.6028
angles (deg): 19.56 19.56 19.56
Positions (direct):
La 0.0000 0.0000 0.0000
Er 0.2365 0.2365 0.2365
Er 0.4319 0.4319 0.4319
Zn 0.8345 0.8345 0.8345

density: 7.7 g cm⁻³
space group: R3m
total magnetization: 0.000 μB/atom

=====

<b>
## LaEr2Zn (PBE)

Data for an optimized crystal structure of LaEr2Zn.

a b c (Å): 10.5580 10.5580 10.5580
angles (deg): 19.58 19.58 19.58
Positions (direct):
La 0.0000 0.0000 0.0000
Er 0.2371 0.2371 0.2371
Er 0.7629 0.7629 0.7629
Zn 0.5000 0.5000 0.5000

density: 7.7 g cm⁻³
space group: R-3m
total magnetization: 0.000 μB/atom

=====

Decreasing stability: <b>, <a>

=====

<a>
## LaErZn4 (PBE)

Data for an optimized crystal structure of LaErZn4.

a b c (Å): 5.5459 5.5459 5.5459
angles (deg): 60.00 60.00 60.00
Positions (direct):
La 0.0000 0.0000 0.0000
Er 0.7500 0.7500 0.7500
Zn 0.3757 0.3757 0.3757
Zn 0.3757 0.3757 0.8729
Zn 0.3757 0.8729 0.3757
Zn 0.8729 0.3757 0.3757

density: 7.8 g cm⁻³
space group: F-43m
total magnetization: 0.000 μB/atom

=====

<b>
## LaErZn4 (PBE)

Data for an optimized crystal structure of LaErZn4.

a b c (Å): 5.8199 5.8199 5.8199
angles (deg): 134.47 101.42 95.82
Positions (direct):
La 0.0000 0.0000 0.0000
Er 0.5000 0.0000 0.5000
Zn 0.0970 0.3338 0.7632
Zn 0.4294 0.6662 0.7632
Zn 0.5706 0.3338 0.2368
Zn 0.9030 0.6662 0.2368

density: 7.3 g cm⁻³
space group: Immm
total magnetization: 0.000 μB/atom

=====

Decreasing stability: <b>, <a>

=====

<a>
## La2ErZr (PBE)

Data for an optimized crystal structure of La2ErZr.

a b c (Å): 5.0314 5.0314 4.8716
angles (deg): 90.00 90.00 90.00
Positions (direct):
La 0.0000 0.5000 0.0000
La 0.5000 0.0000 0.0000
Er 0.0000 0.0000 0.5000
Zr 0.5000 0.5000 0.5000

density: 7.2 g cm⁻³
space group: P4/mmm
total magnetization: 0.000 μB/atom

=====

<b>
## La2ErZr (PBE)

Data for an optimized crystal structure of La2ErZr.

a b c (Å): 4.0890 4.0890 7.4311
angles (deg): 90.00 90.00 90.00
Positions (direct):
La 0.0000 0.0000 0.2291
La 0.0000 0.0000 0.7709
Er 0.5000 0.5000 0.5000
Zr 0.5000 0.5000 0.0000

density: 7.2 g cm⁻³
space group: P4/mmm
total magnetization: 0.000 μB/atom

=====

Decreasing stability: <a>, <b>

=====

<a>
## LiEr (PBE)

Data for an optimized crystal structure of LiEr.

a b c (Å): 3.3172 5.0147 6.3952
angles (deg): 90.00 105.05 90.00
Positions (direct):
Li 0.0633 0.2500 0.1292
Li 0.9367 0.7500 0.8708
Er 0.3241 0.2500 0.6477
Er 0.6759 0.7500 0.3523

density: 5.6 g cm⁻³
space group: P2_1/m
total magnetization: 0.000 μB/atom

=====

<b>
## LiEr (PBE)

Data for an optimized crystal structure of LiEr.

a b c (Å): 3.6733 3.6733 3.6733
angles (deg): 90.00 90.00 90.00
Positions (direct):
Li 0.0000 0.0000 0.0000
Er 0.5000 0.5000 0.5000

density: 5.8 g cm⁻³
space group: Pm-3m
total magnetization: 0.000 μB/atom

=====

Decreasing stability: <a>, <b>

=====

<a>
## Li3Er (PBE)

Data for an optimized crystal structure of Li3Er.

a b c (Å): 3.1762 5.2420 5.5873
angles (deg): 90.00 90.00 90.00
Positions (direct):
Li 0.0000 0.0000 0.0000
Li 0.0000 0.5000 0.2949
Li 0.5000 0.0000 0.4584
Er 0.5000 0.5000 0.7977

density: 3.4 g cm⁻³
space group: Pmm2
total magnetization: 0.000 μB/atom

=====

<b>
## Li3Er (PBE)

Data for an optimized crystal structure of Li3Er.

a b c (Å): 6.5066 6.5066 5.0152
angles (deg): 90.00 90.00 120.00
Positions (direct):
Li 0.1530 0.3061 0.2500
Li 0.1530 0.8470 0.2500
Li 0.3061 0.1530 0.7500
Li 0.6939 0.8470 0.2500
Li 0.8470 0.1530 0.7500
Li 0.8470 0.6939 0.7500
Er 0.3333 0.6667 0.7500
Er 0.6667 0.3333 0.2500

density: 3.4 g cm⁻³
space group: P6_3/mmc
total magnetization: 0.000 μB/atom

=====

<c>
## Li3Er (PBE)

Data for an optimized crystal structure of Li3Er.

a b c (Å): 5.9604 5.9604 5.9604
angles (deg): 147.47 126.53 64.00
Positions (direct):
Li 0.0000 0.0000 0.0000
Li 0.2255 0.7255 0.5000
Li 0.7745 0.2745 0.5000
Er 0.5000 0.5000 0.0000

density: 3.5 g cm⁻³
space group: Immm
total magnetization: 0.000 μB/atom

=====

<d>
## Li3Er (PBE)

Data for an optimized crystal structure of Li3Er.

a b c (Å): 5.6494 5.6494 5.6494
angles (deg): 134.37 134.37 66.50
Positions (direct):
Li 0.0000 0.0000 0.0000
Li 0.2500 0.7500 0.5000
Li 0.7500 0.2500 0.5000
Er 0.5000 0.5000 0.0000

density: 3.4 g cm⁻³
space group: I4/mmm
total magnetization: 0.015 μB/atom

=====

Decreasing stability: <c>, <a>, <d>, <b>

=====

<a>
## Li2Er (PBE)

Data for an optimized crystal structure of Li2Er.

a b c (Å): 5.8960 5.8960 5.8960
angles (deg): 144.43 144.43 51.19
Positions (direct):
Li 0.1901 0.1901 0.0000
Li 0.8099 0.8099 0.0000
Er 0.5000 0.5000 0.0000

density: 4.4 g cm⁻³
space group: I4/mmm
total magnetization: 0.000 μB/atom

=====

<b>
## Li2Er (PBE)

Data for an optimized crystal structure of Li2Er.

a b c (Å): 5.8014 5.8014 5.8014
angles (deg): 60.00 60.00 60.00
Positions (direct):
Li 0.0000 0.0000 0.0000
Li 0.0000 0.0000 0.5000
Li 0.0000 0.5000 0.0000
Li 0.5000 0.0000 0.0000
Er 0.3750 0.3750 0.3750
Er 0.6250 0.6250 0.6250

density: 4.4 g cm⁻³
space group: Fd-3m
total magnetization: 0.000 μB/atom

=====

Decreasing stability: <b>, <a>

=====

<a>
## LiErLu2 (PBE)

Data for an optimized crystal structure of LiErLu2.

a b c (Å): 3.5272 3.5272 8.6712
angles (deg): 90.00 90.00 90.00
Positions (direct):
Li 0.0000 0.0000 0.0000
Er 0.0000 0.0000 0.5000
Lu 0.5000 0.5000 0.2231
Lu 0.5000 0.5000 0.7769

density: 8.1 g cm⁻³
space group: P4/mmm
total magnetization: 0.000 μB/atom

=====

<b>
## LiErLu2 (PBE)

Data for an optimized crystal structure of LiErLu2.

a b c (Å): 12.0859 12.0859 12.0859
angles (deg): 16.13 16.13 16.13
Positions (direct):
Li 0.0000 0.0000 0.0000
Er 0.5000 0.5000 0.5000
Lu 0.0886 0.0886 0.0886
Lu 0.9114 0.9114 0.9114

density: 7.3 g cm⁻³
space group: R-3m
total magnetization: 0.001 μB/atom

=====

Decreasing stability: <a>, <b>

=====

<a>
## LiErLu2 (PBE)

Data for an optimized crystal structure of LiErLu2.

a b c (Å): 5.4012 5.4012 3.7780
angles (deg): 90.00 90.00 90.00
Positions (direct):
Li 0.0000 0.0000 0.0000
Er 0.5000 0.5000 0.0000
Lu 0.0000 0.5000 0.5000
Lu 0.5000 0.0000 0.5000

density: 7.9 g cm⁻³
space group: P4/mmm
total magnetization: 0.000 μB/atom

=====

<b>
## LiErLu2 (PBE)

Data for an optimized crystal structure of LiErLu2.

a b c (Å): 5.3696 5.3696 5.3696
angles (deg): 60.00 60.00 60.00
Positions (direct):
Li 0.0000 0.0000 0.0000
Er 0.5000 0.5000 0.5000
Lu 0.2500 0.2500 0.2500
Lu 0.7500 0.7500 0.7500

density: 8.0 g cm⁻³
space group: Fm-3m
total magnetization: 0.000 μB/atom

=====

Decreasing stability: <a>, <b>

=====

<a>
## LiErLu (PBE)

Data for an optimized crystal structure of LiErLu.

a b c (Å): 6.6655 6.6655 6.6655
angles (deg): 148.84 148.84 44.64
Positions (direct):
Li 0.0000 0.0000 0.0000
Er 0.6574 0.6574 0.0000
Lu 0.3475 0.3475 0.0000

density: 7.3 g cm⁻³
space group: I4mm
total magnetization: 0.001 μB/atom

=====

<b>
## LiErLu (PBE)

Data for an optimized crystal structure of LiErLu.

a b c (Å): 3.4022 3.4022 8.2420
angles (deg): 90.00 90.00 120.00
Positions (direct):
Li 0.0000 0.0000 0.0000
Er 0.3333 0.6667 0.6656
Lu 0.6667 0.3333 0.3292

density: 7.0 g cm⁻³
space group: P3m1
total magnetization: 0.000 μB/atom

=====

Decreasing stability: <a>, <b>

=====

<a>
## LiEr2Mg (PBE)

Data for an optimized crystal structure of LiEr2Mg.

a b c (Å): 5.2726 5.2726 5.2726
angles (deg): 60.00 60.00 60.00
Positions (direct):
Li 0.0000 0.0000 0.0000
Er 0.2500 0.2500 0.2500
Er 0.7500 0.7500 0.7500
Mg 0.5000 0.5000 0.5000

density: 5.9 g cm⁻³
space group: Fm-3m
total magnetization: 0.004 μB/atom

=====

<b>
## LiEr2Mg (PBE)

Data for an optimized crystal structure of LiEr2Mg.

a b c (Å): 11.9361 11.9361 11.9361
angles (deg): 16.10 16.10 16.10
Positions (direct):
Li 0.0000 0.0000 0.0000
Er 0.0908 0.0908 0.0908
Er 0.9092 0.9092 0.9092
Mg 0.5000 0.5000 0.5000

density: 5.3 g cm⁻³
space group: R-3m
total magnetization: 0.000 μB/atom

=====

Decreasing stability: <a>, <b>

=====

<a>
## LiErMg5 (PBE)

Data for an optimized crystal structure of LiErMg5.

a b c (Å): 4.6308 4.6308 8.0134
angles (deg): 90.00 90.00 90.00
Positions (direct):
Li 0.0000 0.0000 0.0000
Er 0.0000 0.0000 0.5000
Mg 0.0000 0.5000 0.2111
Mg 0.0000 0.5000 0.7889
Mg 0.5000 0.0000 0.2111
Mg 0.5000 0.0000 0.7889
Mg 0.5000 0.5000 0.5000

density: 2.9 g cm⁻³
space group: P4/mmm
total magnetization: 0.000 μB/atom

=====

<b>
## LiErMg5 (PBE)

Data for an optimized crystal structure of LiErMg5.

a b c (Å): 5.5051 5.5051 6.6019
angles (deg): 90.00 90.00 111.50
Positions (direct):
Li 0.0000 0.0000 0.0000
Er 0.5000 0.5000 0.5000
Mg 0.0000 0.5000 0.2437
Mg 0.0000 0.5000 0.7563
Mg 0.5000 0.0000 0.2437
Mg 0.5000 0.0000 0.7563
Mg 0.5000 0.5000 0.0000

density: 2.6 g cm⁻³
space group: Cmmm
total magnetization: 0.000 μB/atom

=====

Decreasing stability: <a>, <b>

=====

<a>
## Li2Er3Mg7 (PBE)

Data for an optimized crystal structure of Li2Er3Mg7.

a b c (Å): 5.2889 5.1254 11.2821
angles (deg): 90.00 90.23 90.00
Positions (direct):
Li 0.0021 0.0000 0.2809
Li 0.9979 0.0000 0.7191
Er 0.0000 0.0000 0.0000
Er 0.4969 0.5000 0.6556
Er 0.5031 0.5000 0.3444
Mg 0.0021 0.5000 0.1639
Mg 0.2560 0.0000 0.5005
Mg 0.4985 0.0000 0.8326
Mg 0.5000 0.5000 0.0000
Mg 0.5015 0.0000 0.1674
Mg 0.7440 0.0000 0.4995
Mg 0.9979 0.5000 0.8361

density: 3.7 g cm⁻³
space group: P2/m
total magnetization: 0.000 μB/atom

=====

<b>
## Li2Er3Mg7 (PBE)

Data for an optimized crystal structure of Li2Er3Mg7.

a b c (Å): 9.9505 9.9505 9.9505
angles (deg): 35.14 35.14 35.14
Positions (direct):
Li 0.1662 0.1662 0.1662
Li 0.8338 0.8338 0.8338
Er 0.3596 0.3596 0.3596
Er 0.5000 0.5000 0.5000
Er 0.6404 0.6404 0.6404
Mg 0.0000 0.0000 0.0000
Mg 0.0830 0.0830 0.5760
Mg 0.0830 0.5760 0.0830
Mg 0.4240 0.9170 0.9170
Mg 0.5760 0.0830 0.0830
Mg 0.9170 0.4240 0.9170
Mg 0.9170 0.9170 0.4240

density: 3.9 g cm⁻³
space group: R-3m
total magnetization: 0.000 μB/atom

=====

Decreasing stability: <b>, <a>

=====

<a>
## LiErMgTl (PBE)

Data for an optimized crystal structure of LiErMgTl.

a b c (Å): 5.0515 5.0515 5.0515
angles (deg): 119.87 119.87 90.23
Positions (direct):
Li 0.0000 0.0000 0.0000
Er 0.2500 0.7500 0.5000
Mg 0.7500 0.2500 0.5000
Tl 0.5000 0.5000 0.0000

density: 7.3 g cm⁻³
space group: I-4m2
total magnetization: 0.000 μB/atom

=====

<b>
## LiErMgTl (PBE)

Data for an optimized crystal structure of LiErMgTl.

a b c (Å): 5.0999 5.0999 5.0999
angles (deg): 60.00 60.00 60.00
Positions (direct):
Li 0.0000 0.0000 0.0000
Er 0.5000 0.5000 0.5000
Mg 0.2500 0.2500 0.2500
Tl 0.7500 0.7500 0.7500

density: 7.1 g cm⁻³
space group: F-43m
total magnetization: 0.000 μB/atom

=====

Decreasing stability: <a>, <b>